1.
Material: V2HgSe4
Method: DFT, PBE
State: relaxed

Formation energy from raw total energies, eV per formula unit: -4.10
DOS at the Fermi energy, states/eV/atom: 0.36
Calculated volume, Å³ per cell: 188.7

Lattice parameters (Å, degrees): 3.3445 5.7980 10.4283 108.75 99.23 90.00
Site moments in Bohr magnetons follow the coordinates.
Atoms (fractional coordinates):
V: 0.2502 0.2496 0.5005  0.68
Se: 0.3313 0.0103 0.6625  -0.05
V: 0.7498 0.7504 0.4995  0.68
Hg: 0.5000 0.5000 0.0000  0.00
Se: 0.1689 0.4893 0.3377  -0.05
Se: 0.6687 0.9897 0.3375  -0.05
Se: 0.8311 0.5107 0.6623  -0.05

2.
Material: V2HgSe
Method: DFT, PBE
State: relaxed

Relative energy among the computed polymorphs, meV/atom: 19
Formation energy from raw total energies, eV per formula unit: 1.50
DOS at the Fermi energy, states/eV/atom: 1.41
Calculated volume, Å³ per cell: 161.2

Lattice parameters (Å, degrees): 7.1280 7.1280 5.9559 53.24 53.24 90.00
Site moments in Bohr magnetons follow the coordinates.
Atoms (fractional coordinates):
V: 0.8750 0.8329 0.7500  2.37
V: 0.3750 0.4171 0.7500  2.37
Hg: 0.0000 0.0000 0.0000  0.00
V: 0.1671 0.6250 0.2500  2.37
Se: 0.5000 0.5000 0.0000  -0.08
Se: 0.2500 0.7500 0.5000  -0.08
Hg: 0.7500 0.2500 0.5000  0.00
V: 0.5829 0.1250 0.2500  2.37

3.
Material: VHg2Se2
Method: DFT, PBE
State: relaxed

Formation energy from raw total energies, eV per formula unit: -0.30
DOS at the Fermi energy, states/eV/atom: 0.71
Calculated volume, Å³ per cell: 272.8

Lattice parameters (Å, degrees): 6.3217 6.3217 6.8259 90.00 90.00 90.00
Site moments in Bohr magnetons follow the coordinates.
Atoms (fractional coordinates):
Hg: 0.6852 0.8148 0.5000  -0.02
Hg: 0.3148 0.1852 0.5000  -0.02
Se: 0.8512 0.6488 0.0000  -0.12
V: 0.0000 0.0000 0.0000  1.88
Se: 0.3512 0.8512 0.0000  -0.12
Se: 0.6488 0.1488 0.0000  -0.12
V: 0.5000 0.5000 0.0000  1.88
Se: 0.1488 0.3512 0.0000  -0.12
Hg: 0.1852 0.6852 0.5000  -0.02
Hg: 0.8148 0.3148 0.5000  -0.02

4.
Material: VHg2Se
Method: DFT, PBE
State: relaxed

Formation energy from raw total energies, eV per formula unit: 0.46
DOS at the Fermi energy, states/eV/atom: 0.47
Calculated volume, Å³ per cell: 226.4

Lattice parameters (Å, degrees): 9.7855 9.7855 7.3122 48.00 48.00 90.00
Site moments in Bohr magnetons follow the coordinates.
Atoms (fractional coordinates):
Hg: 0.2332 0.6250 0.2500  0.03
V: 0.5000 0.5000 0.0000  2.41
Hg: 0.3750 0.4832 0.7500  0.03
V: 0.2500 0.7500 0.5000  2.41
Se: 0.0000 0.0000 0.0000  -0.15
Hg: 0.5168 0.1250 0.2500  0.03
Hg: 0.8750 0.7668 0.7500  0.03
Se: 0.7500 0.2500 0.5000  -0.15

5.
Material: V2HgSe2
Method: DFT, PBE
State: relaxed

Relative energy among the computed polymorphs, meV/atom: 0
Formation energy from raw total energies, eV per formula unit: -2.16
DOS at the Fermi energy, states/eV/atom: 1.19
Calculated volume, Å³ per cell: 120.2

Lattice parameters (Å, degrees): 3.6047 3.6047 9.5945 79.17 79.17 90.00
Atoms (fractional coordinates):
Se: 0.6560 0.6560 0.6879
Se: 0.3440 0.3440 0.3121
V: 0.2500 0.7500 0.5000
Hg: 0.0000 0.0000 0.0000
V: 0.7500 0.2500 0.5000

6.
Material: V3HgSe
Method: DFT, PBE
State: relaxed

Relative energy among the computed polymorphs, meV/atom: 957
Formation energy from raw total energies, eV per formula unit: 7.52
DOS at the Fermi energy, states/eV/atom: 2.47
Calculated volume, Å³ per cell: 125.1

Lattice parameters (Å, degrees): 5.0016 5.0016 5.0016 90.00 90.00 90.00
Site moments in Bohr magnetons follow the coordinates.
Atoms (fractional coordinates):
V: 0.0000 0.0000 0.5000  2.33
Se: 0.5000 0.5000 0.5000  -0.24
Hg: 0.0000 0.0000 0.0000  0.00
V: 0.0000 0.5000 0.0000  2.33
V: 0.5000 0.0000 0.0000  2.33

7.
Material: VHgSe4
Method: DFT, PBE
State: relaxed

Formation energy from raw total energies, eV per formula unit: -2.00
DOS at the Fermi energy, states/eV/atom: 0.10
Calculated volume, Å³ per cell: 334.1

Lattice parameters (Å, degrees): 6.4121 7.5433 7.8741 109.51 105.45 98.48
Atoms (fractional coordinates):
Hg: 0.2659 0.4054 0.5841
Se: 0.4866 0.7811 0.0738
Se: 0.3870 0.8962 0.7121
Se: 0.0986 0.3016 0.1412
V: 0.2243 0.0003 0.9998
Se: 0.9580 0.1320 0.8035
V: 0.7757 0.9997 0.0002
Se: 0.9014 0.6984 0.8589
Se: 0.6129 0.1038 0.2879
Hg: 0.7341 0.5946 0.4159
Se: 0.5134 0.2189 0.9262
Se: 0.0420 0.8680 0.1965

8.
Material: V4HgSe8
Method: DFT, PBE
State: relaxed

Formation energy from raw total energies, eV per formula unit: -8.24
DOS at the Fermi energy, states/eV/atom: 0.39
Calculated volume, Å³ per cell: 365.5

Lattice parameters (Å, degrees): 6.7035 6.7035 10.1588 70.73 70.73 60.00
Site moments in Bohr magnetons follow the coordinates.
Atoms (fractional coordinates):
Se: 0.7775 0.7775 0.1679  -0.05
Se: 0.7229 0.2225 0.8321  -0.05
V: 0.5000 0.0000 0.0000  0.71
V: 0.5000 0.5000 0.0000  0.71
Se: 0.7775 0.2771 0.1679  -0.05
V: 0.0000 0.0000 0.0000  0.74
V: 0.0000 0.5000 0.0000  0.71
Se: 0.2773 0.2773 0.1682  -0.05
Se: 0.2771 0.7775 0.1679  -0.05
Se: 0.7227 0.7227 0.8318  -0.05
Hg: 0.5000 0.5000 0.5000  0.01
Se: 0.2225 0.7229 0.8321  -0.05
Se: 0.2225 0.2225 0.8321  -0.05

9.
Material: V2HgSe2
Method: DFT, PBE
State: relaxed

Relative energy among the computed polymorphs, meV/atom: 431
Formation energy from raw total energies, eV per formula unit: 0.00
DOS at the Fermi energy, states/eV/atom: 0.74
Calculated volume, Å³ per cell: 96.0

Lattice parameters (Å, degrees): 4.7385 4.7385 5.4329 64.14 64.14 90.00
Atoms (fractional coordinates):
V: 0.3816 0.3816 0.2368
V: 0.6184 0.6184 0.7632
Se: 0.2500 0.7500 0.5000
Se: 0.7500 0.2500 0.5000
Hg: 0.0000 0.0000 0.0000

10.
Material: Hg3WSe
Method: DFT, PBE
State: relaxed

Relative energy among the computed polymorphs, meV/atom: 0
Formation energy from raw total energies, eV per formula unit: 5.96
DOS at the Fermi energy, states/eV/atom: 1.23
Calculated volume, Å³ per cell: 154.8

Lattice parameters (Å, degrees): 5.3696 5.3696 5.3696 90.00 90.00 90.00
Site moments in Bohr magnetons follow the coordinates.
Atoms (fractional coordinates):
Hg: 0.0000 0.5000 0.0000  0.04
W: 0.0000 0.0000 0.0000  1.51
Hg: 0.0000 0.0000 0.5000  0.04
Hg: 0.5000 0.0000 0.0000  0.05
Se: 0.5000 0.5000 0.5000  0.58

11.
Material: HgW2Se
Method: DFT, PBE
State: relaxed

Relative energy among the computed polymorphs, meV/atom: 285
Formation energy from raw total energies, eV per formula unit: 2.61
DOS at the Fermi energy, states/eV/atom: 0.81
Calculated volume, Å³ per cell: 69.1

Lattice parameters (Å, degrees): 9.0427 9.0427 9.0427 19.09 19.09 19.09
Atoms (fractional coordinates):
W: 0.0082 0.0082 0.0082
Se: 0.7500 0.7500 0.7500
Hg: 0.2500 0.2500 0.2500
W: 0.4918 0.4918 0.4918

12.
Material: HgW2Se
Method: DFT, PBE
State: relaxed

Relative energy among the computed polymorphs, meV/atom: 0
Formation energy from raw total energies, eV per formula unit: 1.47
DOS at the Fermi energy, states/eV/atom: 0.77
Calculated volume, Å³ per cell: 78.2

Lattice parameters (Å, degrees): 9.9552 9.9552 9.9552 17.54 17.54 17.54
Atoms (fractional coordinates):
W: 0.2596 0.2596 0.2596
Hg: 0.5090 0.5090 0.5090
Se: 0.7297 0.7297 0.7297
W: 0.0017 0.0017 0.0017